Record 1
A PBEsol-optimized structure of Sr3SnIr, computed with meta-GGA SCAN.

Cell: 6.030 6.030 6.030 Å, 90.00 90.00 90.00°
Fractional coordinates of all 5 atoms:
Sr 0.000 0.500 0.000
Sr 0.000 0.000 0.500
Sr 0.500 0.000 0.000
Ir 0.500 0.500 0.500
Sn 0.000 0.000 0.000

Record 2
A PBEsol-optimized structure of Ta2SnIr2, computed with meta-GGA SCAN.

Cell: 4.327 4.327 6.074 Å, 110.87 110.87 90.00°
Fractional coordinates of all 5 atoms:
Ir 0.378 0.378 0.756
Ir 0.622 0.622 0.244
Sn 0.000 0.000 0.000
Ta 0.250 0.750 0.500
Ta 0.750 0.250 0.500

| no. | formation energy (eV per formula unit) |
| --- | --- |
| 1 | 3.36 |
| 2 | -1.63 |